# Ce4SnAsSe2, relaxed, DFT PBE
# Raw formation energy ... -1.3829 eV per atom
# Spin magnetization ... 3.5 μB/f.u.
# Fermi-level density of states ... 24.2 states/eV/cell
data_Ce4SnAsSe2
_cell_length_a 7.391
_cell_length_b 4.300
_cell_length_c 7.468
_cell_angle_alpha 90.00
_cell_angle_beta 109.62
_cell_angle_gamma 90.00
_symmetry_space_group_name_H-M 'P 1 2/m 1'
_symmetry_Int_Tables_number 10
loop_
_symmetry_equiv_pos_as_xyz
'x,y,z'
'-x,-y,-z'
'-x,y,-z'
'x,-y,z'
loop_
_atom_site_label
_atom_site_fract_x
_atom_site_fract_y
_atom_site_fract_z
_atom_site_occupancy
Ce1 0.241 0.000 0.237 1
Ce2 0.249 0.500 0.759 1
Sn1 0.500 0.500 0.500 1
As1 0.500 0.000 0.000 1
Se1 0.000 0.000 0.500 1
Se2 0.000 0.500 0.000 1